No. 1
BaTl5 | PBEsol | optimized geometry

Summary:
* SG: P6/mmm (191)
* V: 191.5 Å³/cell
* E_form: -0.9 eV/f.u.
* magnetization: 0.0 Bohr magnetons per cell
* E above lowest polymorph: 0.046 eV per atom
* total DFT energy (no corrections): -2.70 eV per atom

abc: 5.3989 6.4006 6.4006
angles: 120.00 90.00 90.00
Element x y z (fractional)
Tl1 0.0000 0.6667 0.3333
Tl2 0.0000 0.3333 0.6667
Tl3 0.5000 0.5000 0.5000
Tl4 0.5000 0.0000 0.5000
Tl5 0.5000 0.5000 0.0000
Ba1 0.0000 0.0000 0.0000

***

No. 2
NaYBe2 | PBEsol | optimized geometry

Summary:
* SG: I-42d (122)
* V: 154.4 Å³/cell
* E_form: 3.5 eV/f.u.
* magnetization: 0.0 Bohr magnetons per cell
* total DFT energy (no corrections): -3.18 eV per atom

abc: 5.4911 5.9710 5.9710
angles: 77.79 62.63 62.63
Element x y z (fractional)
Y1 0.0000 0.0000 0.0000
Y2 0.7500 0.5000 0.5000
Na1 0.5000 0.0000 0.0000
Na2 0.2500 0.5000 0.5000
Be1 0.6122 0.0128 0.5128
Be2 0.1378 0.9872 0.4872
Be3 0.3750 0.4872 0.0128
Be4 0.8750 0.5128 0.9872

***

No. 3
ScCd2OsPt | PBEsol | optimized geometry

Summary:
* SG: P4/mmm (123)
* V: 118.6 Å³/cell
* E_form: 4.4 eV/f.u.
* magnetization: 0.0 Bohr magnetons per cell
* total DFT energy (no corrections): -4.77 eV per atom

abc: 4.6855 5.0313 5.0313
angles: 90.00 90.00 90.00
Element x y z (fractional)
Sc1 0.5000 0.0000 0.0000
Os1 0.0000 0.0000 0.0000
Pt1 0.5000 0.5000 0.5000
Cd1 0.0000 0.0000 0.5000
Cd2 0.0000 0.5000 0.0000